# 1
Here is a geometry-optimized MnSiRh2 structure from Alexandria. Energies are from PBE.

Calculated values
* total energy: -31.35 eV per cell
* formation energy from raw total energies: -0.5141 eV/atom

abc: 4.1040 4.1061 3.2081
angles: 90.00 90.00 90.00
With the nearest neighbours (Å) after each atom.
Element x y z (fractional)
Rh: 0.5000 0.5000 0.0000  4 Mn 2.60, 4 Si 2.61, 4 Rh 2.90
Rh: 0.0000 0.0000 0.0000  4 Si 2.60, 4 Mn 2.61, 4 Rh 2.90
Mn: 0.0000 0.5000 0.5000  8 Rh 2.60-2.61, 4 Si 2.90
Si: 0.5000 0.0000 0.5000  8 Rh 2.60-2.61, 4 Mn 2.90



# 2
Here is a geometry-optimized ZrMn5 structure from Alexandria. Energies are from PBE.

Calculated values
* total energy: -54.29 eV per cell
* ΔH_f (0 K): 0.02 eV/atom

abc: 4.8706 4.8706 3.9254
angles: 90.00 90.00 120.00
With the nearest neighbours (Å) after each atom.
Element x y z (fractional)
Mn: 0.6667 0.3333 0.5000  6 Mn 2.41
Mn: 0.5000 0.0000 0.0000  8 Mn 2.41-2.44
Mn: 0.0000 0.5000 0.0000  8 Mn 2.41-2.44
Mn: 0.5000 0.5000 0.0000  8 Mn 2.41-2.44
Mn: 0.3333 0.6667 0.5000  6 Mn 2.41
Zr: 0.0000 0.0000 0.5000  18 Mn 2.81-3.13



# 3
Here is a geometry-optimized Ti3InPd structure from Alexandria. Energies are from PBE.

Calculated values
* total energy: -65.27 eV per cell
* ΔH_f (0 K): -0.20 eV/atom

abc: 3.0245 5.4992 11.5699
angles: 75.36 90.00 105.96
With the nearest neighbours (Å) after each atom.
Element x y z (fractional)
Pd: 0.7954 0.5908 0.0888  3 Ti 2.55-2.66
Pd: 0.2046 0.4092 0.9112  3 Ti 2.55-2.66
Ti: 0.1369 0.2739 0.5368  6 Ti 2.77-3.02, 4 In 2.92-2.99
Ti: 0.8631 0.7261 0.4632  6 Ti 2.77-3.02, 4 In 2.92-2.99
Ti: 0.0547 0.1094 0.1232  1 Pd 2.55
Ti: 0.6628 0.3255 0.7359  2 Pd 2.66, 4 Ti 2.83-2.87, 3 In 2.93-2.97
Ti: 0.3372 0.6745 0.2641  2 Pd 2.66, 4 Ti 2.83-2.87, 3 In 2.93-2.97
Ti: 0.9453 0.8906 0.8768  1 Pd 2.55
In: 0.4088 0.8177 0.6711  9 Ti 2.92-2.99, 2 In 3.02, 1 Pd 3.04
In: 0.5912 0.1823 0.3289  9 Ti 2.92-2.99, 2 In 3.02, 1 Pd 3.04



# 4
Here is a geometry-optimized Ac12Pr3Ir5 structure from Alexandria. Energies are from PBE.

Calculated values
* total energy: -429.88 eV per cell
* ΔH_f (0 K): 0.02 eV/atom

abc: 16.3944 16.3944 16.3944
angles: 109.47 109.47 109.47
With the nearest neighbours (Å) after each atom.
Element x y z (fractional)
Ac: 0.9125 0.8192 0.5181  2 Ir 2.82-2.99
Ac: 0.5933 0.6989 0.6808  2 Ir 2.82-2.99
Ac: 0.8945 0.3011 0.4819  2 Ir 2.82-2.99
Ac: 0.3192 0.8011 0.4067  2 Ir 2.82-2.99
Ac: 0.5933 0.8945 0.4125  2 Ir 2.82-2.99
Ac: 0.8011 0.4819 0.3945  2 Ir 2.82-2.99
Ac: 0.8011 0.3192 0.9067  2 Ir 2.82-2.99
Ac: 0.6989 0.5933 0.1808  2 Ir 2.82-2.99
Ac: 0.0933 0.1808 0.1989  2 Ir 2.82-2.99
Ac: 0.8945 0.5933 0.9125  2 Ir 2.82-2.99
Ac: 0.1055 0.6989 0.5181  2 Ir 2.82-2.99
Ac: 0.9125 0.0933 0.8945  2 Ir 2.82-2.99
Ac: 0.8192 0.9125 0.0181  2 Ir 2.82-2.99
Ac: 0.5875 0.6055 0.4067  2 Ir 2.82-2.99
Ac: 0.1989 0.6808 0.0933  2 Ir 2.82-2.99
Ac: 0.1808 0.0933 0.6989  2 Ir 2.82-2.99
Ac: 0.8192 0.9067 0.3011  2 Ir 2.82-2.99
Ac: 0.6055 0.0181 0.1989  2 Ir 2.82-2.99
Ac: 0.0933 0.9125 0.3945  2 Ir 2.82-2.99
Ac: 0.4067 0.3011 0.3192  2 Ir 2.82-2.99
Ac: 0.3011 0.8945 0.9819  2 Ir 2.82-2.99
Ac: 0.3011 0.4067 0.8192  2 Ir 2.82-2.99
Ac: 0.1055 0.4067 0.0875  2 Ir 2.82-2.99
Ac: 0.6989 0.1055 0.0181  2 Ir 2.82-2.99
Ac: 0.9819 0.3945 0.3011  2 Ir 2.82-2.99
Ac: 0.5875 0.9819 0.6808  2 Ir 2.82-2.99
Ac: 0.4125 0.0181 0.3192  2 Ir 2.82-2.99
Ac: 0.9819 0.5875 0.1808  2 Ir 2.82-2.99
Ac: 0.3192 0.5181 0.4125  2 Ir 2.82-2.99
Ac: 0.5181 0.3192 0.9125  2 Ir 2.82-2.99
Ac: 0.1989 0.5181 0.6055  2 Ir 2.82-2.99
Ac: 0.5181 0.1989 0.1055  2 Ir 2.82-2.99
Ac: 0.9067 0.8192 0.8011  2 Ir 2.82-2.99
Ac: 0.4819 0.6808 0.0875  2 Ir 2.82-2.99
Ac: 0.3945 0.9819 0.8011  2 Ir 2.82-2.99
Ac: 0.6055 0.5875 0.9067  2 Ir 2.82-2.99
Ac: 0.3945 0.4125 0.0933  2 Ir 2.82-2.99
Ac: 0.0181 0.6055 0.6989  2 Ir 2.82-2.99
Ac: 0.6808 0.4819 0.5875  2 Ir 2.82-2.99
Ac: 0.9067 0.0875 0.6055  2 Ir 2.82-2.99
Ac: 0.6808 0.1989 0.5933  2 Ir 2.82-2.99
Ac: 0.4819 0.8011 0.8945  2 Ir 2.82-2.99
Ac: 0.0875 0.9067 0.1055  2 Ir 2.82-2.99
Ac: 0.1808 0.0875 0.9819  2 Ir 2.82-2.99
Ac: 0.0875 0.1808 0.4819  2 Ir 2.82-2.99
Ac: 0.4125 0.3945 0.5933  2 Ir 2.82-2.99
Ac: 0.0181 0.4125 0.8192  2 Ir 2.82-2.99
Ac: 0.4067 0.1055 0.5875  2 Ir 2.82-2.99
Ir: 0.7500 0.1250 0.8750  4 Ac 2.82
Ir: 0.3750 0.2500 0.1250  4 Ac 2.82
Ir: 0.5000 0.5000 0.5000  6 Ac 2.99
Ir: 0.2500 0.3750 0.6250  4 Ac 2.82
Ir: 0.2500 0.8750 0.1250  4 Ac 2.82
Ir: 0.5000 0.0000 0.5000  6 Ac 2.99
Ir: 0.6250 0.8750 0.2500  4 Ac 2.82
Ir: 0.1250 0.7500 0.3750  4 Ac 2.82
Ir: 0.0000 0.0000 0.0000  6 Ac 2.99
Ir: 0.0000 0.5000 0.0000  6 Ac 2.99
Ir: 0.0000 0.5000 0.5000  6 Ac 2.99
Ir: 0.1250 0.3750 0.2500  4 Ac 2.82
Ir: 0.8750 0.2500 0.6250  4 Ac 2.82
Ir: 0.7500 0.6250 0.3750  4 Ac 2.82
Ir: 0.8750 0.6250 0.7500  4 Ac 2.82
Ir: 0.5000 0.5000 0.0000  6 Ac 2.99
Ir: 0.5000 0.0000 0.0000  6 Ac 2.99
Ir: 0.0000 0.0000 0.5000  6 Ac 2.99
Ir: 0.3750 0.1250 0.7500  4 Ac 2.82
Ir: 0.6250 0.7500 0.8750  4 Ac 2.82
Pr: 0.1250 0.2500 0.8750  8 Ac 3.76-3.83
Pr: 0.7500 0.8750 0.6250  8 Ac 3.76-3.83
Pr: 0.2500 0.6250 0.8750  8 Ac 3.76-3.83
Pr: 0.8750 0.1250 0.2500  8 Ac 3.76-3.83
Pr: 0.3750 0.7500 0.6250  8 Ac 3.76-3.83
Pr: 0.8750 0.7500 0.1250  8 Ac 3.76-3.83
Pr: 0.6250 0.3750 0.7500  8 Ac 3.76-3.83
Pr: 0.2500 0.1250 0.3750  8 Ac 3.76-3.83
Pr: 0.6250 0.2500 0.3750  8 Ac 3.76-3.83
Pr: 0.3750 0.6250 0.2500  8 Ac 3.76-3.83
Pr: 0.7500 0.3750 0.1250  8 Ac 3.76-3.83
Pr: 0.1250 0.8750 0.7500  8 Ac 3.76-3.83



# 5
Here is a geometry-optimized Fe2Co6Ni structure from Alexandria. Energies are from PBE.

Calculated values
* total energy: -62.03 eV per cell
* ΔH_f (0 K): 0.37 eV/atom

abc: 4.0023 6.5801 6.5838
angles: 42.39 72.30 72.29
With the nearest neighbours (Å) after each atom.
Element x y z (fractional)
Co: 0.8023 0.4566 0.9388  5 Co 2.29-2.46, 1 Fe 2.53
Co: 0.8023 0.9387 0.4567  5 Co 2.29-2.46, 1 Fe 2.53
Co: 0.1977 0.5434 0.0612  5 Co 2.29-2.46, 1 Fe 2.53
Co: 0.0000 0.2385 0.7614  4 Co 2.27-2.49, 2 Ni 2.36
Co: 0.0000 0.7615 0.2386  4 Co 2.27-2.49, 2 Ni 2.36
Co: 0.1977 0.0613 0.5433  5 Co 2.29-2.46, 1 Fe 2.53
Fe: 0.3920 0.1080 0.1080  1 Fe 2.51, 10 Co 2.53-2.62, 2 Ni 2.69
Fe: 0.6080 0.8920 0.8920  1 Fe 2.51, 10 Co 2.53-2.62, 2 Ni 2.69
Ni: 0.5000 0.5000 0.5000  4 Co 2.36



# 6
Here is a geometry-optimized Ho2SI structure from Alexandria. Energies are from PBE.

Calculated values
* total energy: -20.01 eV per cell
* formation energy from raw total energies: -1.2950 eV/atom

abc: 3.8790 3.8790 8.0696
angles: 76.09 76.09 60.00
With the nearest neighbours (Å) after each atom.
Element x y z (fractional)
Ho: 0.7292 0.7292 0.8124  3 S 2.67
Ho: 0.2708 0.2708 0.1876  3 S 2.67
S: 0.0000 0.0000 0.0000  6 Ho 2.67
I: 0.5000 0.5000 0.5000  6 Ho 3.30



# 7
Here is a geometry-optimized Ba2IrPb structure from Alexandria. Energies are from PBE.

Calculated values
* total energy: -17.43 eV per cell
* ΔH_f (0 K): -0.25 eV/atom

abc: 7.7956 5.6296 5.3673
angles: 89.76 133.87 111.52
With the nearest neighbours (Å) after each atom.
Element x y z (fractional)
Ba: 0.9586 0.0419 0.0181  3 Ir 3.39-3.42, 3 Pb 3.64
Ba: 0.2914 0.7082 0.7319  3 Ir 3.39-3.42, 3 Pb 3.64
Ir: 0.6250 0.3749 0.8750  2 Pb 2.68
Pb: 0.6250 0.3749 0.3750  2 Ir 2.68



# 8
Here is a geometry-optimized CsKRb2 structure from Alexandria. Energies are from PBE.

Calculated values
* total energy: -7.71 eV per cell
* ΔH_f (0 K): 0.01 eV/atom

abc: 4.9806 9.7243 15.6938
angles: 90.00 90.00 104.84
With the nearest neighbours (Å) after each atom.
Element x y z (fractional)
K: 0.2386 0.4771 0.2500  6 Rb 4.84-4.85, 3 Cs 4.98-5.07, 2 K 4.98
K: 0.7614 0.5229 0.7500  6 Rb 4.84-4.85, 3 Cs 4.98-5.07, 2 K 4.98
Cs: 0.0263 0.0526 0.7500  3 K 4.98-5.07, 2 Cs 4.98, 8 Rb 5.27-5.34
Cs: 0.9737 0.9474 0.2500  3 K 4.98-5.07, 2 Cs 4.98, 8 Rb 5.27-5.34
Rb: 0.6325 0.2650 0.4828  3 K 4.84-4.85, 5 Rb 4.98-5.10, 4 Cs 5.27-5.34
Rb: 0.3675 0.7350 0.5172  3 K 4.84-4.85, 5 Rb 4.98-5.10, 4 Cs 5.27-5.34
Rb: 0.3675 0.7350 0.9828  3 K 4.84-4.85, 5 Rb 4.98-5.10, 4 Cs 5.27-5.34
Rb: 0.6325 0.2650 0.0172  3 K 4.84-4.85, 5 Rb 4.98-5.10, 4 Cs 5.27-5.34



# 9
Here is a geometry-optimized Tb2PmPr4Nd2 structure from Alexandria. Energies are from PBE.

Calculated values
* total energy: -42.58 eV per cell
* ΔH_f (0 K): 0.01 eV/atom

abc: 3.7020 9.7642 9.8430
angles: 115.19 90.00 100.93
With the nearest neighbours (Å) after each atom.
Element x y z (fractional)
Nd: 0.3332 0.6664 0.0016  3 Tb 3.61-3.64, 3 Pr 3.64-3.65, 4 Nd 3.68-3.70, 2 Pm 3.70
Nd: 0.6668 0.3336 0.9984  3 Tb 3.61-3.64, 3 Pr 3.64-3.65, 4 Nd 3.68-3.70, 2 Pm 3.70
Tb: 0.8516 0.7033 0.3310  3 Nd 3.61-3.64, 7 Pr 3.65-3.69, 2 Tb 3.70
Tb: 0.1484 0.2967 0.6690  3 Nd 3.61-3.64, 7 Pr 3.65-3.69, 2 Tb 3.70
Pr: 0.1861 0.3721 0.3322  2 Nd 3.65, 1 Pm 3.65, 6 Pr 3.65-3.72, 3 Tb 3.68-3.69
Pr: 0.5184 0.0368 0.3347  5 Pr 3.61-3.72, 1 Nd 3.64, 4 Tb 3.65-3.68, 2 Pm 3.66
Pr: 0.4816 0.9632 0.6653  5 Pr 3.61-3.72, 1 Nd 3.64, 4 Tb 3.65-3.68, 2 Pm 3.66
Pr: 0.8139 0.6279 0.6678  2 Nd 3.65, 1 Pm 3.65, 6 Pr 3.65-3.72, 3 Tb 3.68-3.69
Pm: 0.0000 0.0000 0.0000  6 Pr 3.65-3.66, 4 Nd 3.70, 2 Pm 3.70



# 10
Here is a geometry-optimized AcPmPr3Nd structure from Alexandria. Energies are from PBE.

Calculated values
* total energy: -53.74 eV per cell
* ΔH_f (0 K): 0.18 eV/atom

abc: 5.9624 10.9424 7.1726
angles: 91.10 90.00 105.81
With the nearest neighbours (Å) after each atom.
Element x y z (fractional)
Pm: 0.9445 0.8889 0.7231  3 Pr 3.36-3.44
Pm: 0.0555 0.1111 0.2769  3 Pr 3.36-3.44
Pr: 0.1592 0.3184 0.7526  2 Nd 3.52, 2 Ac 3.64, 4 Pr 3.67-3.94
Pr: 0.5172 0.0345 0.7495  1 Nd 3.23, 2 Pm 3.36, 1 Ac 3.43
Pr: 0.2190 0.4380 0.2753  1 Nd 3.33, 1 Pm 3.44, 3 Ac 3.63-3.72, 1 Pr 3.67
Pr: 0.4828 0.9655 0.2505  1 Nd 3.23, 2 Pm 3.36, 1 Ac 3.43
Pr: 0.7810 0.5620 0.7247  1 Nd 3.33, 1 Pm 3.44, 3 Ac 3.63-3.72, 1 Pr 3.67
Pr: 0.8408 0.6816 0.2474  2 Nd 3.52, 2 Ac 3.64, 4 Pr 3.67-3.94
Nd: 0.3582 0.7163 0.5055  4 Pr 3.23-3.52, 1 Ac 3.26
Nd: 0.6418 0.2837 0.4945  4 Pr 3.23-3.52, 1 Ac 3.26
Ac: 0.3517 0.7035 0.9591  1 Nd 3.26, 4 Pr 3.43-3.64
Ac: 0.6483 0.2965 0.0409  1 Nd 3.26, 4 Pr 3.43-3.64



# 11
Here is a geometry-optimized TaOs2Pt structure from Alexandria. Energies are from PBE.

Calculated values
* total energy: -39.91 eV per cell
* ΔH_f (0 K): 0.11 eV/atom

abc: 9.3858 9.3858 9.3858
angles: 17.07 17.07 17.07
With the nearest neighbours (Å) after each atom.
Element x y z (fractional)
Pt: 0.2500 0.2500 0.2500  6 Pt 2.79, 6 Os 2.79
Os: 0.5010 0.5010 0.5010  6 Os 2.79, 3 Pt 2.79, 3 Ta 2.84
Os: 0.9990 0.9990 0.9990  6 Os 2.79, 3 Pt 2.79, 3 Ta 2.84
Ta: 0.7500 0.7500 0.7500  6 Ta 2.79, 6 Os 2.84



# 12
Here is a geometry-optimized Nd2HoHfAs4 structure from Alexandria. Energies are from PBE.

Calculated values
* total energy: -53.72 eV per cell
* ΔH_f (0 K): -1.38 eV/atom

abc: 4.1002 7.1052 7.1244
angles: 109.24 90.00 90.00
With the nearest neighbours (Å) after each atom.
Element x y z (fractional)
Ho: 0.5000 0.5000 0.0000  6 As 2.86-2.87
As: 0.5000 0.2341 0.2269  2 Hf 2.79, 1 Ho 2.86, 3 Nd 2.95-3.02
As: 0.0000 0.7531 0.2322  1 Hf 2.78, 2 Ho 2.87, 3 Nd 2.95-3.02
As: 0.0000 0.2469 0.7678  1 Hf 2.78, 2 Ho 2.87, 3 Nd 2.95-3.02
As: 0.5000 0.7659 0.7731  2 Hf 2.79, 1 Ho 2.86, 3 Nd 2.95-3.02
Nd: 0.0000 0.5000 0.5000  6 As 3.02
Nd: 0.5000 0.0000 0.5000  6 As 2.95
Hf: 0.0000 0.0000 0.0000  6 As 2.78-2.79



Looking at calculated density for the records above, in order, we have 8.87; 7.53; 6.79; 8.04; 7.87; 8.04; 7.64; 1.55; 6.94; 6.93; 20.21; 7.89 Mg/m³.